VASP calculation (PBE-GGA) on crystalline InCuI2 at its relaxed geometry.

Calculated values
Crystal system   trigonal
Calculated total energy   -2.694 eV per atom
Polymorph energy (0 for the lowest one)   30 meV/atom
Uncorrected formation energy   -210 meV/atom

The structure in CIF format:
```
data_InCuI2
_chemical_formula_sum 'In3 Cu3 I6'
_symmetry_space_group_name_H-M 'R -3 m'
_symmetry_Int_Tables_number 166
_symmetry_space_group_name_Hall '-R 3 2"'
_cell_length_a 5.4291
_cell_length_b 5.4291
_cell_length_c 24.4766
_cell_angle_alpha 90.00
_cell_angle_beta 90.00
_cell_angle_gamma 120.00
loop_
_atom_site_label
_atom_site_type_symbol
_atom_site_fract_x
_atom_site_fract_y
_atom_site_fract_z
In1 In 0.0000 0.0000 0.0000
Cu1 Cu 0.0000 0.0000 0.5000
I1 I 0.0000 0.0000 0.4015
```

***

VASP calculation (PBE-GGA) on crystalline InCuI2 at its relaxed geometry.

Calculated values
Crystal system   cubic
Calculated total energy   -2.342 eV per atom
Polymorph energy (0 for the lowest one)   382 meV/atom
Uncorrected formation energy   142 meV/atom

The structure in CIF format:
```
data_InCuI2
_chemical_formula_sum 'In4 Cu4 I8'
_symmetry_space_group_name_H-M 'F m -3 m'
_symmetry_Int_Tables_number 225
_symmetry_space_group_name_Hall '-F 4 2 3'
_cell_length_a 7.835
_cell_length_b 7.835
_cell_length_c 7.835
_cell_angle_alpha 90.00
_cell_angle_beta 90.00
_cell_angle_gamma 90.00
loop_
_atom_site_label
_atom_site_type_symbol
_atom_site_fract_x
_atom_site_fract_y
_atom_site_fract_z
In1 In 0.000 0.000 0.000
Cu1 Cu 0.000 0.000 0.500
I1 I 0.250 0.250 0.250
```

***

VASP calculation (PBE-GGA) on crystalline InCu2I5 at its relaxed geometry.

Calculated values
Crystal system   monoclinic
Calculated total energy   -2.573 eV per atom
Uncorrected formation energy   -238 meV/atom

The structure in CIF format:
```
data_InCu2I5
_chemical_formula_sum 'In2 Cu4 I10'
_symmetry_space_group_name_H-M 'C 1 m 1'
_symmetry_Int_Tables_number 8
_cell_length_a 14.072
_cell_length_b 8.394
_cell_length_c 7.407
_cell_angle_alpha 90.00
_cell_angle_beta 115.78
_cell_angle_gamma 90.00
loop_
_symmetry_equiv_pos_as_xyz
'x,y,z'
'x,-y,z'
'x+1/2,y+1/2,z'
'x+1/2,-y+1/2,z'
loop_
_atom_site_label
_atom_site_type_symbol
_atom_site_fract_x
_atom_site_fract_y
_atom_site_fract_z
In1 In 0.000 0.000 0.000
Cu1 Cu 0.167 0.500 0.226
Cu2 Cu 0.380 0.500 0.436
I1 I 0.125 0.230 0.313
I2 I 0.304 0.500 0.057
I3 I 0.448 0.267 0.685
```